The following is a DFT calculation (PBE) of an optimized crystal structure of LaHoMgZn.

Unit cell a=5.315 b=5.315 c=5.315 alpha=60.00 beta=60.00 gamma=60.00
Element x y z (fractional)
La 0.000 0.000 0.000
Ho 0.500 0.500 0.500
Mg 0.250 0.250 0.250
Zn 0.750 0.750 0.750

Properties
The space-group type is F-43m (216). The calculation puts the energy of formation from the pure elements at -0.1686 eV per atom. The density of states at the Fermi level comes out at 4.59 states/eV/cell. For the energy, the calculation gives -3.262 eV/atom.

The following is a DFT calculation (PBE) of an optimized crystal structure of La2HoMnS5.

Unit cell a=8.566 b=8.566 c=12.119 alpha=90.00 beta=90.00 gamma=153.13
Element x y z (fractional)
La 0.119 0.881 0.500
La 0.124 0.876 0.147
La 0.876 0.124 0.647
La 0.881 0.119 0.000
Ho 0.188 0.812 0.831
Ho 0.812 0.188 0.331
Mn 0.449 0.551 0.239
Mn 0.551 0.449 0.739
S 0.023 0.977 0.834
S 0.301 0.699 0.487
S 0.312 0.688 0.172
S 0.349 0.651 0.823
S 0.494 0.506 0.567
S 0.506 0.494 0.067
S 0.651 0.349 0.323
S 0.688 0.312 0.672
S 0.699 0.301 0.987
S 0.977 0.023 0.334

Properties
The space-group type is Cmc2_1 (36). The density of states at the Fermi level comes out at 6.29 states/eV/cell. The calculation puts the formation energy without anion corrections at -41.90 kcal/mol of atoms. For the energy, the calculation gives -6.732 eV/atom.